Nd5YTe6 after structural relaxation. Source: the Alexandria database, functional GGA-PBE.

Cell and atoms, written as CIF:
```
data_Nd5YTe6
_cell_length_a 7.754
_cell_length_b 13.462
_cell_length_c 7.740
_cell_angle_alpha 90.00
_cell_angle_beta 109.54
_cell_angle_gamma 90.00
_space_group_name_H-M_alt 'C 1 2/m 1'
_space_group_IT_number 12
loop_
_space_group_symop_operation_xyz
'x,y,z'
'-x,-y,-z'
'-x,y,-z'
'x,-y,z'
'x+1/2,y+1/2,z'
'-x+1/2,-y+1/2,-z'
'-x+1/2,y+1/2,-z'
'x+1/2,-y+1/2,z'
loop_
_atom_site_label
_atom_site_type_symbol
_atom_site_fract_x
_atom_site_fract_y
_atom_site_fract_z
Nd1 Nd 0.000 0.000 0.000
Nd2 Nd 0.000 0.168 0.500
Nd3 Nd 0.000 0.326 0.000
Y1 Y 0.000 0.500 0.500
Te1 Te 0.242 0.500 0.250
Te2 Te 0.244 0.338 0.744
```

Output
Theoretical density   6873 kg/m3
Uncorrected formation energy   -135.7 kJ per mole of atoms
Calculated total energy   -5.50 eV/atom
Magnetic moment   0.00 μB per formula unit
Density of states at the Fermi level   0.47 states/eV/atom